# 1
The following is a PBE-GGA calculation of an optimized crystal structure of SmMg2Al, from the Alexandria database.

Geometry as POSCAR:
```
SmMg2Al
1.0
0.0000 3.5669 3.5669
3.5669 0.0000 3.5669
3.5669 3.5669 0.0000
Sm Mg Al
1 2 1
Direct
0.0000 0.0000 0.0000
0.2500 0.2500 0.2500
0.7500 0.7500 0.7500
0.5000 0.5000 0.5000
```

Results
ρ (g cm⁻³): 4.13
E_form (eV/atom): -0.09
Fermi-level density of states (states/eV/atom): 0.2833

---

# 2
The following is a PBE-GGA calculation of an optimized crystal structure of Ce2ZrIn, from the Alexandria database.

Geometry as POSCAR:
```
Ce2ZrIn
1.0
4.2389 0.0000 0.0000
0.0000 4.2301 0.0000
-1.8207 0.0000 11.2388
Ce Zr In
4 2 2
Direct
0.0147 0.2500 0.1238
0.4057 0.2500 0.8812
0.5943 0.7500 0.1188
0.9853 0.7500 0.8762
0.3057 0.7500 0.6011
0.6943 0.2500 0.3989
0.1733 0.7500 0.3406
0.8267 0.2500 0.6594
```

Results
ρ (g cm⁻³): 8.01
E_form (eV/atom): -0.05
Fermi-level density of states (states/eV/atom): 1.8133

---

Q: Which value of Fermi-level density of states does entry 1 give?
A: 0.2833 states/eV/atom